(1)
A relaxed structure of SrGd2Pu, computed with PBE.

Cell lengths 3.619, 3.619, 12.742 Å; angles 81.84, 81.84, 60.00 degrees
Last column: magnetic moment on the atom in μB.
Sites, in units of the cell vectors:
Pu (0.500, 0.500, 0.500)  5.58
Sr (0.000, 0.000, 0.000)  0.00
Gd (0.094, 0.094, 0.718)  7.26
Gd (0.906, 0.906, 0.282)  7.26

Output
Relative energy among the computed polymorphs   0.1096 eV/atom
ΔH_f (0 K)   296 meV/atom
DOS at the Fermi energy   10.18 states/eV/cell

---

(2)
A relaxed structure of AcYPdPt, computed with PBE.

Cell lengths 5.178, 5.178, 5.178 Å; angles 60.00, 60.00, 60.00 degrees
Sites, in units of the cell vectors:
Y (0.500, 0.500, 0.500)
Ac (0.000, 0.000, 0.000)
Pt (0.750, 0.750, 0.750)
Pd (0.250, 0.250, 0.250)

Output
ΔH_f (0 K)   -884 meV/atom
DOS at the Fermi energy   3.74 states/eV/cell

---

(3)
A relaxed structure of Sr2Ga3GePt4, computed with PBE.

Cell lengths 4.496, 4.496, 10.034 Å; angles 90.00, 90.00, 90.00 degrees
Sites, in units of the cell vectors:
Sr (0.500, 0.000, 0.247)
Sr (0.000, 0.500, 0.753)
Pt (0.000, 0.000, 0.000)
Pt (0.500, 0.000, 0.623)
Pt (0.000, 0.500, 0.377)
Pt (0.500, 0.500, 0.000)
Ga (0.000, 0.500, 0.123)
Ga (0.500, 0.000, 0.877)
Ga (0.000, 0.000, 0.500)
Ge (0.500, 0.500, 0.500)

Output
ΔH_f (0 K)   -858 meV/atom
DOS at the Fermi energy   2.79 states/eV/cell

---

(4)
A relaxed structure of ScTaRu, computed with PBE.

Cell lengths 3.080, 3.080, 6.590 Å; angles 90.00, 90.00, 120.00 degrees
Sites, in units of the cell vectors:
Ta (0.333, 0.667, 0.695)
Sc (0.667, 0.333, 0.315)
Ru (0.000, 0.000, 0.990)

Output
Relative energy among the computed polymorphs   0.3827 eV/atom
ΔH_f (0 K)   -22 meV/atom
DOS at the Fermi energy   4.14 states/eV/cell

---

(5)
A relaxed structure of Pm3Pr4Dy4, computed with PBE.

Cell lengths 3.625, 9.556, 12.235 Å; angles 112.99, 98.52, 90.00 degrees
Sites, in units of the cell vectors:
Pr (0.646, 0.823, 0.292)
Pr (0.646, 0.468, 0.292)
Pr (0.354, 0.177, 0.708)
Pr (0.354, 0.532, 0.708)
Dy (0.500, 0.182, 0.000)
Dy (0.740, 0.240, 0.480)
Dy (0.500, 0.818, 0.000)
Dy (0.260, 0.760, 0.520)
Pm (0.107, 0.108, 0.215)
Pm (0.893, 0.892, 0.785)
Pm (0.000, 0.500, 0.000)

Output
Relative energy among the computed polymorphs   0.0000 eV/atom
ΔH_f (0 K)   127 meV/atom
DOS at the Fermi energy   16.19 states/eV/cell

---

(6)
A relaxed structure of ScHPt, computed with PBE.

Cell lengths 3.233, 3.233, 7.507 Å; angles 89.99, 89.99, 90.00 degrees
Sites, in units of the cell vectors:
H (0.981, 0.493, 0.879)
H (0.480, 0.993, 0.879)
Sc (0.481, 0.493, 0.706)
Sc (0.980, 0.993, 0.052)
Pt (0.480, 0.493, 0.255)
Pt (0.981, 0.993, 0.502)

Output
Relative energy among the computed polymorphs   0.0000 eV/atom
DOS at the Fermi energy   0.43 states/eV/cell

---

Going through the records in order, we get E_tot values of -10.75, -6.34, -4.98, -9.18, -4.58, -6.08 eV/atom.